Crystalline PmEuSc at its relaxed geometry, computed with PBE-GGA.

abc: 3.5769 3.5769 8.7358
angles: 90.00 90.00 120.00
Space group P3m1 (No. 156)
Symmetry-distinct sites (fractional):
Pm: 0.0000 0.0000 0.0000 x1
Eu: 0.6667 0.3333 0.3656 x1
Sc: 0.3333 0.6667 0.6965 x1

Summary:
Distance to the lowest polymorph of the same formula, meV/atom: 10
ΔE_f, eV per atom: 0.108